1.
A plane-wave DFT calculation with PBE-GGA was carried out for a relaxed structure of BaMo.

Structure (CIF):
```
data_BaMo
_cell_length_a 7.332
_cell_length_b 4.235
_cell_length_c 9.928
_cell_angle_alpha 90.00
_cell_angle_beta 105.08
_cell_angle_gamma 90.00
_symmetry_space_group_name_H-M 'C 1 2/m 1'
_symmetry_Int_Tables_number 12
loop_
_symmetry_equiv_pos_as_xyz
'x,y,z'
'-x,-y,-z'
'-x,y,-z'
'x,-y,z'
'x+1/2,y+1/2,z'
'-x+1/2,-y+1/2,-z'
'-x+1/2,y+1/2,-z'
'x+1/2,-y+1/2,z'
loop_
_atom_site_label
_atom_site_fract_x
_atom_site_fract_y
_atom_site_fract_z
Ba1 0.097 0.000 0.274
Mo1 0.167 0.500 0.000
```

- ρ: 5.2 g cm⁻³
- Uncorrected energy: -5.8181 eV/atom
- Crystal system: monoclinic

---

2.
A plane-wave DFT calculation with PBE-GGA was carried out for a relaxed structure of BaMo.

Structure (CIF):
```
data_BaMo
_cell_length_a 6.0823
_cell_length_b 6.0823
_cell_length_c 8.3874
_cell_angle_alpha 90.00
_cell_angle_beta 90.00
_cell_angle_gamma 120.00
_symmetry_space_group_name_H-M 'P 63/m m c'
_symmetry_Int_Tables_number 194
_symmetry_space_group_name_Hall '-P 6c 2c'
loop_
_atom_site_label
_atom_site_fract_x
_atom_site_fract_y
_atom_site_fract_z
Ba1 0.0000 0.0000 0.2500
Ba2 0.3333 0.6667 0.2500
Mo1 0.3333 0.6667 0.6246
```

- ρ: 5.8 g cm⁻³
- Uncorrected energy: -5.3548 eV/atom
- Crystal system: hexagonal

---

3.
A plane-wave DFT calculation with PBE-GGA was carried out for a relaxed structure of Ba2Mo3.

Structure (CIF):
```
data_Ba2Mo3
_cell_length_a 4.1310
_cell_length_b 4.1310
_cell_length_c 31.9602
_cell_angle_alpha 90.00
_cell_angle_beta 90.00
_cell_angle_gamma 120.00
_symmetry_space_group_name_H-M 'R -3 m'
_symmetry_Int_Tables_number 166
_symmetry_space_group_name_Hall '-R 3 2"'
loop_
_atom_site_label
_atom_site_fract_x
_atom_site_fract_y
_atom_site_fract_z
Ba1 0.0000 0.0000 0.0874
Mo1 0.0000 0.0000 0.3335
Mo2 0.0000 0.0000 0.5000
```

- ρ: 5.9 g cm⁻³
- Uncorrected energy: -5.9677 eV/atom
- Crystal system: trigonal

---

4.
A plane-wave DFT calculation with PBE-GGA was carried out for a relaxed structure of BaMo.

Structure (CIF):
```
data_BaMo
_cell_length_a 3.780
_cell_length_b 3.780
_cell_length_c 4.449
_cell_angle_alpha 90.00
_cell_angle_beta 90.00
_cell_angle_gamma 90.00
_symmetry_space_group_name_H-M 'P 4/m m m'
_symmetry_Int_Tables_number 123
_symmetry_space_group_name_Hall '-P 4 2'
loop_
_atom_site_label
_atom_site_fract_x
_atom_site_fract_y
_atom_site_fract_z
Ba1 0.000 0.000 0.000
Mo1 0.500 0.500 0.500
```

- ρ: 6.1 g cm⁻³
- Uncorrected energy: -4.7233 eV/atom
- Crystal system: tetragonal

---

5.
A plane-wave DFT calculation with PBE-GGA was carried out for a relaxed structure of BaMo.

Structure (CIF):
```
data_BaMo
_cell_length_a 3.1553
_cell_length_b 3.1553
_cell_length_c 11.9978
_cell_angle_alpha 90.00
_cell_angle_beta 90.00
_cell_angle_gamma 120.00
_symmetry_space_group_name_H-M 'P 63 m c'
_symmetry_Int_Tables_number 186
_symmetry_space_group_name_Hall 'P 6c -2c'
loop_
_atom_site_label
_atom_site_fract_x
_atom_site_fract_y
_atom_site_fract_z
Ba1 0.3333 0.6667 0.0000
Mo1 0.3333 0.6667 0.7382
```

- ρ: 7.5 g cm⁻³
- Uncorrected energy: -4.6366 eV/atom
- Crystal system: hexagonal

---

6.
A plane-wave DFT calculation with PBE-GGA was carried out for a relaxed structure of BaMo.

Structure (CIF):
```
data_BaMo
_cell_length_a 7.421
_cell_length_b 9.654
_cell_length_c 3.621
_cell_angle_alpha 90.00
_cell_angle_beta 90.00
_cell_angle_gamma 90.00
_symmetry_space_group_name_H-M 'C m m m'
_symmetry_Int_Tables_number 65
_symmetry_space_group_name_Hall '-C 2 2'
loop_
_atom_site_label
_atom_site_fract_x
_atom_site_fract_y
_atom_site_fract_z
Ba1 0.000 0.205 0.000
Mo1 0.142 0.500 0.500
```

- ρ: 6.0 g cm⁻³
- Uncorrected energy: -5.4076 eV/atom
- Crystal system: orthorhombic

---

7.
A plane-wave DFT calculation with PBE-GGA was carried out for a relaxed structure of BaMo2.

Structure (CIF):
```
data_BaMo2
_cell_length_a 3.371
_cell_length_b 3.371
_cell_length_c 13.072
_cell_angle_alpha 90.00
_cell_angle_beta 90.00
_cell_angle_gamma 90.00
_symmetry_space_group_name_H-M 'I 4/m m m'
_symmetry_Int_Tables_number 139
_symmetry_space_group_name_Hall '-I 4 2'
loop_
_atom_site_label
_atom_site_fract_x
_atom_site_fract_y
_atom_site_fract_z
Ba1 0.000 0.000 0.000
Mo1 0.000 0.000 0.288
```

- ρ: 7.4 g cm⁻³
- Uncorrected energy: -7.0791 eV/atom
- Crystal system: tetragonal

---

8.
A plane-wave DFT calculation with PBE-GGA was carried out for a relaxed structure of Ba4Mo3.

Structure (CIF):
```
data_Ba4Mo3
_cell_length_a 5.6052
_cell_length_b 5.6052
_cell_length_c 7.4847
_cell_angle_alpha 90.00
_cell_angle_beta 90.00
_cell_angle_gamma 120.00
_symmetry_space_group_name_H-M 'P 6/m m m'
_symmetry_Int_Tables_number 191
_symmetry_space_group_name_Hall '-P 6 2'
loop_
_atom_site_label
_atom_site_fract_x
_atom_site_fract_y
_atom_site_fract_z
Ba1 0.0000 0.0000 0.2457
Ba2 0.3333 0.6667 0.5000
Mo1 0.0000 0.5000 0.0000
```

- ρ: 6.8 g cm⁻³
- Uncorrected energy: -4.6976 eV/atom
- Crystal system: hexagonal

---

What did the second record say?
A plane-wave DFT calculation with PBE-GGA was carried out for a relaxed structure of BaMo.

Structure (CIF):
```
data_BaMo
_cell_length_a 6.0823
_cell_length_b 6.0823
_cell_length_c 8.3874
_cell_angle_alpha 90.00
_cell_angle_beta 90.00
_cell_angle_gamma 120.00
_symmetry_space_group_name_H-M 'P 63/m m c'
_symmetry_Int_Tables_number 194
_symmetry_space_group_name_Hall '-P 6c 2c'
loop_
_atom_site_label
_atom_site_fract_x
_atom_site_fract_y
_atom_site_fract_z
Ba1 0.0000 0.0000 0.2500
Ba2 0.3333 0.6667 0.2500
Mo1 0.3333 0.6667 0.6246
```

- ρ: 5.8 g cm⁻³
- Uncorrected energy: -5.3548 eV/atom
- Crystal system: hexagonal